Here is a relaxed SrHgBr3 crystal from Alexandria via LeMat-Bulk. Energies are from PBE-GGA.

## Properties
raw total energy	-2.46	eV/atom
ΔE_f (raw)	-1061	meV per atom

Cell: 5.992 5.992 5.992 Å, 90.00 90.00 90.00°
Atoms (fractional coordinates):
Sr: 0.000 0.000 0.000
Hg: 0.500 0.500 0.500
Br: 0.000 0.000 0.500
Br: 0.000 0.500 0.000
Br: 0.500 0.000 0.000

---

Here is a relaxed CdIn6Hg10 crystal from Alexandria via LeMat-Bulk. Energies are from PBE-GGA.

## Properties
raw total energy	-1.18	eV/atom
energy relative to the elements	0.017	eV/atom

Cell: 8.968 8.968 6.564 Å, 90.00 90.00 120.00°
Atoms (fractional coordinates):
Cd: 0.000 0.000 0.000
In: 0.000 0.387 0.771
In: 0.000 0.613 0.229
In: 0.387 0.000 0.771
In: 0.387 0.387 0.229
In: 0.613 0.000 0.229
In: 0.613 0.613 0.771
Hg: 0.000 0.263 0.300
Hg: 0.000 0.737 0.700
Hg: 0.263 0.000 0.300
Hg: 0.263 0.263 0.700
Hg: 0.333 0.667 0.000
Hg: 0.333 0.667 0.500
Hg: 0.667 0.333 0.000
Hg: 0.667 0.333 0.500
Hg: 0.737 0.000 0.700
Hg: 0.737 0.737 0.300

---

Here is a relaxed PPt4Br crystal from Alexandria via LeMat-Bulk. Energies are from PBE-GGA.

## Properties
raw total energy	-4.54	eV/atom
ΔE_f (raw)	663	meV per atom

Cell: 5.354 5.354 5.354 Å, 60.00 60.00 60.00°
Atoms (fractional coordinates):
P: 0.000 0.000 0.000
Pt: 0.123 0.626 0.626
Pt: 0.626 0.123 0.626
Pt: 0.626 0.626 0.123
Pt: 0.626 0.626 0.626
Br: 0.250 0.250 0.250

---

Here is a relaxed SmGd2Ag crystal from Alexandria via LeMat-Bulk. Energies are from PBE-GGA.

## Properties
raw total energy	-8.95	eV/atom
energy relative to the elements	-0.014	eV/atom

Cell: 10.789 10.789 10.789 Å, 19.23 19.23 19.23°
Atoms (fractional coordinates):
Sm: 0.000 0.000 0.000
Gd: 0.241 0.241 0.241
Gd: 0.759 0.759 0.759
Ag: 0.500 0.500 0.500

---

Here is a relaxed Ca2TiPd crystal from Alexandria via LeMat-Bulk. Energies are from PBE-GGA.

## Properties
raw total energy	-4.06	eV/atom
energy relative to the elements	0.216	eV/atom

Cell: 7.616 7.616 7.616 Å, 96.16 96.16 141.75°
Atoms (fractional coordinates):
Ca: 0.375 0.238 0.363
Ca: 0.762 0.125 0.137
Ca: 0.875 0.012 0.637
Ca: 0.988 0.625 0.863
Ti: 0.250 0.750 0.500
Ti: 0.500 0.500 0.000
Pd: 0.000 0.000 0.000
Pd: 0.750 0.250 0.500

---

Here is a relaxed Na2TmTlBr6 crystal from Alexandria via LeMat-Bulk. Energies are from PBE-GGA.

## Properties
raw total energy	-3.49	eV/atom
ΔE_f (raw)	-1543	meV per atom

Cell: 8.191 8.191 8.191 Å, 55.07 55.07 55.07°
Atoms (fractional coordinates):
Na: 0.000 0.000 0.000
Na: 0.484 0.484 0.484
Tm: 0.677 0.677 0.677
Tl: 0.195 0.195 0.195
Br: 0.055 0.433 0.755
Br: 0.288 0.857 0.632
Br: 0.433 0.755 0.055
Br: 0.632 0.288 0.857
Br: 0.755 0.055 0.433
Br: 0.857 0.632 0.288

---

Here is a relaxed PmTmPu crystal from Alexandria via LeMat-Bulk. Energies are from PBE-GGA.

## Properties
raw total energy	-7.72	eV/atom
energy relative to the elements	0.134	eV/atom

Cell: 3.533 3.533 8.546 Å, 90.00 90.00 120.00°
Atoms (fractional coordinates):
Pm: 0.000 0.000 0.000
Tm: 0.667 0.333 0.339
Pu: 0.333 0.667 0.664

---

Here is a relaxed SiMoCl2 crystal from Alexandria via LeMat-Bulk. Energies are from PBE-GGA.

## Properties
raw total energy	-4.09	eV/atom
ΔE_f (raw)	898	meV per atom

Cell: 6.576 6.576 6.576 Å, 123.30 123.30 84.38°
Atoms (fractional coordinates):
Si: 0.000 0.000 0.000
Si: 0.750 0.250 0.500
Mo: 0.250 0.750 0.500
Mo: 0.500 0.500 0.000
Cl: 0.179 0.625 0.054
Cl: 0.375 0.429 0.554
Cl: 0.571 0.125 0.946
Cl: 0.875 0.821 0.446

---

Q: What is the raw total energy in the seventh record?
A: -7.72 eV/atom

---

Q: Look up the raw total energy of the sixth one.
A: -3.49 eV/atom